P | VASP calculation (PBE) on an optimized crystal structure of SmY6Sc2.

Summary:
Magnetic moment = 0.000 μB per formula unit
Crystal system = orthorhombic

```
data_SmY6Sc2
_symmetry_space_group_name_H-M 'I b a m'
_symmetry_Int_Tables_number 72
_symmetry_space_group_name_Hall '-I 2 2c'
_cell_length_a 5.561
_cell_length_b 9.621
_cell_length_c 20.602
_cell_angle_alpha 90.00
_cell_angle_beta 90.00
_cell_angle_gamma 90.00
loop_
_atom_site_label
_atom_site_type_symbol
_atom_site_fract_x
_atom_site_fract_y
_atom_site_fract_z
Sm1 Sm 0.000 0.000 0.250
Y1 Y 0.000 0.000 0.081
Y2 Y 0.002 0.333 0.163
Sc1 Sc 0.002 0.333 0.500
```

Q | VASP calculation (PBE) on an optimized crystal structure of SmY6Sc2.

Summary:
Magnetic moment = 0.128 μB per formula unit
Crystal system = hexagonal

```
data_SmY6Sc2
_symmetry_space_group_name_H-M 'P -6 2 m'
_symmetry_Int_Tables_number 189
_symmetry_space_group_name_Hall 'P -6 -2'
_cell_length_a 9.5341
_cell_length_b 9.5341
_cell_length_c 3.5279
_cell_angle_alpha 90.00
_cell_angle_beta 90.00
_cell_angle_gamma 120.00
loop_
_atom_site_label
_atom_site_type_symbol
_atom_site_fract_x
_atom_site_fract_y
_atom_site_fract_z
Sm1 Sm 0.0000 0.0000 0.0000
Y1 Y 0.0000 0.3714 0.0000
Y2 Y 0.0000 0.6951 0.5000
Sc1 Sc 0.3333 0.6667 0.5000
```

It is Q that is the most stable of them.

P | VASP calculation (PBE) on an optimized crystal structure of SmYSc2.

Summary:
Magnetic moment = 0.000 μB per formula unit
Crystal system = cubic

```
data_SmYSc2
_symmetry_space_group_name_H-M 'F m -3 m'
_symmetry_Int_Tables_number 225
_symmetry_space_group_name_Hall '-F 4 2 3'
_cell_length_a 7.705
_cell_length_b 7.705
_cell_length_c 7.705
_cell_angle_alpha 90.00
_cell_angle_beta 90.00
_cell_angle_gamma 90.00
loop_
_atom_site_label
_atom_site_type_symbol
_atom_site_fract_x
_atom_site_fract_y
_atom_site_fract_z
Sm1 Sm 0.000 0.000 0.000
Y1 Y 0.000 0.000 0.500
Sc1 Sc 0.250 0.250 0.250
```

Q | VASP calculation (PBE) on an optimized crystal structure of SmYSc2.

Summary:
Magnetic moment = 0.000 μB per formula unit
Crystal system = orthorhombic

```
data_SmYSc2
_symmetry_space_group_name_H-M 'C m m m'
_symmetry_Int_Tables_number 65
_symmetry_space_group_name_Hall '-C 2 2'
_cell_length_a 7.006
_cell_length_b 9.304
_cell_length_c 3.494
_cell_angle_alpha 90.00
_cell_angle_beta 90.00
_cell_angle_gamma 90.00
loop_
_atom_site_label
_atom_site_type_symbol
_atom_site_fract_x
_atom_site_fract_y
_atom_site_fract_z
Sm1 Sm 0.000 0.000 0.000
Y1 Y 0.000 0.500 0.000
Sc1 Sc 0.250 0.250 0.500
```

R | VASP calculation (PBE) on an optimized crystal structure of SmYSc2.

Summary:
Magnetic moment = 0.000 μB per formula unit
Crystal system = trigonal

```
data_SmYSc2
_symmetry_space_group_name_H-M 'R 3 m'
_symmetry_Int_Tables_number 160
_symmetry_space_group_name_Hall 'R 3 -2"'
_cell_length_a 3.4685
_cell_length_b 3.4685
_cell_length_c 32.9996
_cell_angle_alpha 90.00
_cell_angle_beta 90.00
_cell_angle_gamma 120.00
loop_
_atom_site_label
_atom_site_type_symbol
_atom_site_fract_x
_atom_site_fract_y
_atom_site_fract_z
Sm1 Sm 0.0000 0.0000 0.0000
Y1 Y 0.0000 0.0000 0.1658
Sc1 Sc 0.0000 0.0000 0.5821
Sc2 Sc 0.0000 0.0000 0.7500
```

S | VASP calculation (PBE) on an optimized crystal structure of SmYSc2.

Summary:
Magnetic moment = 0.000 μB per formula unit
Crystal system = trigonal

```
data_SmYSc2
_symmetry_space_group_name_H-M 'R -3 m'
_symmetry_Int_Tables_number 166
_symmetry_space_group_name_Hall '-R 3 2"'
_cell_length_a 3.4513
_cell_length_b 3.4513
_cell_length_c 33.0597
_cell_angle_alpha 90.00
_cell_angle_beta 90.00
_cell_angle_gamma 120.00
loop_
_atom_site_label
_atom_site_type_symbol
_atom_site_fract_x
_atom_site_fract_y
_atom_site_fract_z
Sm1 Sm 0.0000 0.0000 0.0000
Y1 Y 0.0000 0.0000 0.5000
Sc1 Sc 0.0000 0.0000 0.2498
```

It is Q that is the most stable of them.

P | VASP calculation (PBE) on an optimized crystal structure of SmYSc2.

Summary:
Magnetic moment = 0.000 μB per formula unit
Crystal system = tetragonal

```
data_SmYSc2
_symmetry_space_group_name_H-M 'P 4/m m m'
_symmetry_Int_Tables_number 123
_symmetry_space_group_name_Hall '-P 4 2'
_cell_length_a 4.942
_cell_length_b 4.942
_cell_length_c 4.668
_cell_angle_alpha 90.00
_cell_angle_beta 90.00
_cell_angle_gamma 90.00
loop_
_atom_site_label
_atom_site_type_symbol
_atom_site_fract_x
_atom_site_fract_y
_atom_site_fract_z
Sm1 Sm 0.000 0.000 0.000
Y1 Y 0.500 0.500 0.000
Sc1 Sc 0.000 0.500 0.500
```

Q | VASP calculation (PBE) on an optimized crystal structure of SmYSc2.

Summary:
Magnetic moment = 0.000 μB per formula unit
Crystal system = tetragonal

```
data_SmYSc2
_symmetry_space_group_name_H-M 'P 4/m m m'
_symmetry_Int_Tables_number 123
_symmetry_space_group_name_Hall '-P 4 2'
_cell_length_a 3.894
_cell_length_b 3.894
_cell_length_c 7.537
_cell_angle_alpha 90.00
_cell_angle_beta 90.00
_cell_angle_gamma 90.00
loop_
_atom_site_label
_atom_site_type_symbol
_atom_site_fract_x
_atom_site_fract_y
_atom_site_fract_z
Sm1 Sm 0.000 0.000 0.000
Y1 Y 0.000 0.000 0.500
Sc1 Sc 0.500 0.500 0.252
```

It is P that is the most stable of them.

P | VASP calculation (PBE) on an optimized crystal structure of Sm2Y3Sc.

Summary:
Magnetic moment = 0.000 μB per formula unit
Crystal system = monoclinic

```
data_Sm2Y3Sc
_symmetry_space_group_name_H-M 'C 1 2/c 1'
_symmetry_Int_Tables_number 15
_cell_length_a 17.328
_cell_length_b 7.078
_cell_length_c 6.134
_cell_angle_alpha 90.00
_cell_angle_beta 90.13
_cell_angle_gamma 90.00
loop_
_symmetry_equiv_pos_as_xyz
'x,y,z'
'-x,-y,-z'
'-x,y,-z+1/2'
'x,-y,z+1/2'
'x+1/2,y+1/2,z'
'-x+1/2,-y+1/2,-z'
'-x+1/2,y+1/2,-z+1/2'
'x+1/2,-y+1/2,z+1/2'
loop_
_atom_site_label
_atom_site_type_symbol
_atom_site_fract_x
_atom_site_fract_y
_atom_site_fract_z
Sm1 Sm 0.165 0.126 0.415
Y1 Y 0.000 0.129 0.750
Y2 Y 0.163 0.377 0.922
Sc1 Sc 0.000 0.377 0.250
```

Q | VASP calculation (PBE) on an optimized crystal structure of Sm2Y3Sc.

Summary:
Magnetic moment = 0.001 μB per formula unit
Crystal system = monoclinic

```
data_Sm2Y3Sc
_symmetry_space_group_name_H-M 'C 1 2/m 1'
_symmetry_Int_Tables_number 12
_cell_length_a 17.604
_cell_length_b 3.461
_cell_length_c 14.131
_cell_angle_alpha 90.00
_cell_angle_beta 117.12
_cell_angle_gamma 90.00
loop_
_symmetry_equiv_pos_as_xyz
'x,y,z'
'-x,-y,-z'
'-x,y,-z'
'x,-y,z'
'x+1/2,y+1/2,z'
'-x+1/2,-y+1/2,-z'
'-x+1/2,y+1/2,-z'
'x+1/2,-y+1/2,z'
loop_
_atom_site_label
_atom_site_type_symbol
_atom_site_fract_x
_atom_site_fract_y
_atom_site_fract_z
Sm1 Sm 0.154 0.000 0.470
Sm2 Sm 0.180 0.500 0.878
Y1 Y 0.036 0.500 0.217
Y2 Y 0.099 0.000 0.027
Y3 Y 0.240 0.000 0.294
Sc1 Sc 0.063 0.000 0.641
```

It is P that is the most stable of them.